First-principles (GGA+U) data for crystalline ZnFe2O4 at its relaxed geometry, as listed in the Alexandria database.

Cell: 10.3242 5.9413 14.5445 Å, 90.00 90.85 90.00°
Closest atoms and distances in Å follow each position.
Space group Cm (No. 8)
Asymmetric unit:
Zn 0.0000 0.0000 0.0000  6 O 2.07-2.15
Zn 0.0007 0.5000 0.5002  6 O 2.07-2.13
Zn 0.1662 0.0000 0.1671  6 O 2.08-2.14
Zn 0.3238 0.0000 0.7103  4 O 1.98-2.01
Zn 0.3312 0.5000 0.8355  6 O 2.06-2.16
Zn 0.3330 0.0000 0.3344  6 O 2.07-2.15
Fe 0.0089 0.0000 0.6254  4 O 1.91-1.96
Fe 0.0809 0.2528 0.8332  6 O 1.95-2.02
Fe 0.1596 0.5000 0.0458  4 O 1.90-1.95
Fe 0.1655 0.5000 0.6697  6 O 1.94-2.17
Fe 0.1724 0.5000 0.2901  4 O 1.90-1.98
Fe 0.2526 0.2502 0.5015  6 O 1.95-2.02
Fe 0.3377 0.0000 0.9554  4 O 1.90-1.97
Fe 0.4159 0.2500 0.1672  6 O 1.96-2.02
Fe 0.4947 0.5000 0.3776  4 O 1.90-1.95
O 0.0075 0.0000 0.7568  3 Fe 1.91-2.01
O 0.0079 0.5000 0.7578  3 Fe 1.98-2.09, 1 Zn 2.01
O 0.0695 0.2436 0.0901  2 Fe 1.90-1.96, 2 Zn 2.07-2.08
O 0.1005 0.2634 0.5836  3 Fe 1.93-1.99, 1 Zn 2.11
O 0.1549 0.5000 0.9122  3 Fe 1.94-2.01, 1 Zn 2.15
O 0.1604 0.0000 0.9078  3 Fe 1.95-2.02, 1 Zn 2.15
O 0.1715 0.0000 0.4261  3 Fe 1.95-2.02, 1 Zn 2.15
O 0.1766 0.5000 0.4260  3 Fe 1.98-2.00, 1 Zn 2.13
O 0.2310 0.2714 0.7539  2 Fe 1.94-1.95, 2 Zn 1.98-2.07
O 0.2620 0.2443 0.2451  2 Fe 1.90-1.96, 2 Zn 2.07-2.08
O 0.3260 0.0000 0.5723  2 Fe 1.95, 2 Zn 2.01-2.10
O 0.3302 0.5000 0.5788  4 Fe 1.96-2.17
O 0.3383 0.5000 0.0915  3 Fe 1.95-2.01, 1 Zn 2.15
O 0.3417 0.0000 0.0907  3 Fe 1.97-2.00, 1 Zn 2.14
O 0.4057 0.2450 0.4234  2 Fe 1.90-1.96, 2 Zn 2.07-2.08
O 0.4267 0.2566 0.9106  2 Fe 1.90-1.96, 2 Zn 2.06-2.08
O 0.4903 0.5000 0.2434  3 Fe 1.95-2.00, 1 Zn 2.14
O 0.4943 0.0000 0.2435  3 Fe 1.95-2.02, 1 Zn 2.14

Raw total energy, eV/atom: -5.819